1.
CaPtS: relaxed, PBE-GGA.

a = 4.367 Å, b = 5.580 Å, c = 5.639 Å
α = 89.95°, β = 67.61°, γ = 89.87°
Positions (direct):
Ca 0.000 0.000 0.000
Ca 0.281 0.500 0.442
Pt 0.568 0.439 0.872
Pt 0.712 0.939 0.569
S 0.003 0.498 0.003
S 0.276 0.998 0.439

Values from the calculation:
SG: P1 (1)

=====

2.
YSBrO4: relaxed, PBE-GGA.

a = 6.082 Å, b = 6.082 Å, c = 6.514 Å
α = 101.07°, β = 101.07°, γ = 69.73°
Positions (direct):
Y 0.235 0.235 0.142
Y 0.765 0.765 0.858
S 0.365 0.365 0.737
S 0.635 0.635 0.263
Br 0.023 0.023 0.755
Br 0.977 0.977 0.245
O 0.148 0.486 0.850
O 0.295 0.295 0.513
O 0.486 0.148 0.850
O 0.486 0.486 0.233
O 0.514 0.514 0.767
O 0.514 0.852 0.150
O 0.705 0.705 0.487
O 0.852 0.514 0.150

Values from the calculation:
SG: C2/m (12)

=====

3.
PrCd11: relaxed, PBE-GGA.

a = 9.431 Å, b = 9.431 Å, c = 9.431 Å
α = 90.00°, β = 90.00°, γ = 90.00°
Positions (direct):
Pr 0.000 0.000 0.500
Pr 0.000 0.500 0.000
Pr 0.500 0.000 0.000
Cd 0.000 0.345 0.345
Cd 0.000 0.345 0.655
Cd 0.000 0.655 0.345
Cd 0.000 0.655 0.655
Cd 0.156 0.156 0.156
Cd 0.156 0.156 0.844
Cd 0.156 0.844 0.156
Cd 0.156 0.844 0.844
Cd 0.266 0.266 0.500
Cd 0.266 0.500 0.266
Cd 0.266 0.500 0.734
Cd 0.266 0.734 0.500
Cd 0.345 0.000 0.345
Cd 0.345 0.000 0.655
Cd 0.345 0.345 0.000
Cd 0.345 0.655 0.000
Cd 0.500 0.266 0.266
Cd 0.500 0.266 0.734
Cd 0.500 0.500 0.500
Cd 0.500 0.734 0.266
Cd 0.500 0.734 0.734
Cd 0.655 0.000 0.345
Cd 0.655 0.000 0.655
Cd 0.655 0.345 0.000
Cd 0.655 0.655 0.000
Cd 0.734 0.266 0.500
Cd 0.734 0.500 0.266
Cd 0.734 0.500 0.734
Cd 0.734 0.734 0.500
Cd 0.844 0.156 0.156
Cd 0.844 0.156 0.844
Cd 0.844 0.844 0.156
Cd 0.844 0.844 0.844

Values from the calculation:
SG: Pm-3m (221)
Relative energy among the computed polymorphs: 0.0 kJ per mole of atoms

=====

4.
Ca2AlAgO5: relaxed, PBE-GGA.

a = 9.421 Å, b = 9.421 Å, c = 9.421 Å
α = 47.25°, β = 147.08°, γ = 147.07°
Positions (direct):
Ca 0.004 0.132 0.136
Ca 0.004 0.368 0.372
Ca 0.996 0.632 0.628
Ca 0.996 0.868 0.864
Al 0.449 0.751 0.198
Al 0.553 0.251 0.802
Ag 0.512 0.012 0.500
Ag 0.512 0.512 0.000
O 0.015 0.305 0.803
O 0.015 0.712 0.210
O 0.023 0.426 0.097
O 0.329 0.926 0.903
O 0.487 0.238 0.571
O 0.487 0.415 0.748
O 0.502 0.212 0.197
O 0.502 0.805 0.790
O 0.667 0.738 0.252
O 0.667 0.915 0.429

Values from the calculation:
SG: Ima2 (46)
Relative energy among the computed polymorphs: 1.0 kJ per mole of atoms

=====

5.
Li2LaCd2In2: relaxed, PBE-GGA.

a = 8.806 Å, b = 4.871 Å, c = 7.859 Å
α = 90.00°, β = 104.46°, γ = 90.00°
Positions (direct):
Li 0.129 0.000 0.433
Li 0.371 0.500 0.567
Li 0.629 0.500 0.433
Li 0.871 0.000 0.567
La 0.000 0.000 0.000
La 0.500 0.500 0.000
Cd 0.218 0.500 0.211
Cd 0.282 0.000 0.789
Cd 0.718 0.000 0.211
Cd 0.782 0.500 0.789
In 0.093 0.500 0.716
In 0.407 0.000 0.284
In 0.593 0.000 0.716
In 0.907 0.500 0.284

Values from the calculation:
SG: C2/m (12)

=====

6.
Pa3Ni3B8: relaxed, PBE-GGA.

a = 7.807 Å, b = 7.807 Å, c = 7.807 Å
α = 155.88°, β = 124.08°, γ = 61.77°
Positions (direct):
Pa 0.000 0.000 0.000
Pa 0.289 0.289 0.000
Pa 0.711 0.711 0.000
Ni 0.277 0.500 0.777
Ni 0.500 0.000 0.500
Ni 0.723 0.500 0.223
B 0.009 0.642 0.367
B 0.116 0.866 0.250
B 0.275 0.642 0.633
B 0.384 0.134 0.250
B 0.616 0.866 0.750
B 0.725 0.358 0.367
B 0.884 0.134 0.750
B 0.991 0.358 0.633

Values from the calculation:
SG: Immm (71)

=====

Q: Which total DFT energy (no corrections) values were calculated for the entries above? A: -31.25; -92.61; -50.07; -108.95; -36.71; -103.09, in eV for the cell shown.